Run i
Material: HoSb3
Method: DFT, PBE-GGA
State: relaxed

Output
The space group is I4/mmm. The calculation puts the calculated volume at 108 Å³ per cell. As for the calculated density: 8.17 Mg/m³. Its magnetic moment is 0.00 μB/f.u. The calculation puts the density of states at the Fermi level at 1.97 states/eV/cell.

Lattice parameters (Å, degrees): 4.4598 4.4598 6.2714 110.83 110.83 90.00
Last column: nearest neighbours and their distance in Å.
Positions (direct):
Sb 0.2500 0.7500 0.5000  8 Sb 3.15-3.51, 4 Ho 3.51
Sb 0.5000 0.5000 0.0000  4 Ho 3.15, 8 Sb 3.51
Sb 0.7500 0.2500 0.5000  8 Sb 3.15-3.51, 4 Ho 3.51
Ho 0.0000 0.0000 0.0000  12 Sb 3.15-3.51

---

Run ii
Material: HoSb3
Method: DFT, PBE-GGA
State: relaxed

Output
The space group is P6_3/mmc. The calculation puts the calculated volume at 216 Å³ per cell. As for the calculated density: 8.15 Mg/m³. Its magnetic moment is 0.00 μB/f.u. The calculation puts the density of states at the Fermi level at 4.14 states/eV/cell.

Lattice parameters (Å, degrees): 6.5931 6.5931 5.7389 90.00 90.00 120.00
Last column: nearest neighbours and their distance in Å.
Positions (direct):
Sb 0.1753 0.8247 0.2500  8 Sb 3.13-3.50, 4 Ho 3.30-3.39
Sb 0.8247 0.6494 0.7500  8 Sb 3.13-3.50, 4 Ho 3.30-3.39
Sb 0.8247 0.1753 0.7500  8 Sb 3.13-3.50, 4 Ho 3.30-3.39
Sb 0.3506 0.1753 0.7500  8 Sb 3.13-3.50, 4 Ho 3.30-3.39
Sb 0.6494 0.8247 0.2500  8 Sb 3.13-3.50, 4 Ho 3.30-3.39
Sb 0.1753 0.3506 0.2500  8 Sb 3.13-3.50, 4 Ho 3.30-3.39
Ho 0.6667 0.3333 0.2500  12 Sb 3.30-3.39
Ho 0.3333 0.6667 0.7500  12 Sb 3.30-3.39

---

Run iii
Material: HoSb3
Method: DFT, PBE-GGA
State: relaxed

Output
The space group is Pmm2. The calculation puts the calculated volume at 122 Å³ per cell. As for the calculated density: 7.24 Mg/m³. Its magnetic moment is 0.00 μB/f.u. The calculation puts the density of states at the Fermi level at 0.21 states/eV/cell.

Lattice parameters (Å, degrees): 4.3676 4.5062 6.1771 90.00 90.00 90.00
Last column: nearest neighbours and their distance in Å.
Positions (direct):
Ho 0.0000 0.7583 0.0000  6 Sb 3.10-3.18
Sb 0.5000 0.2703 0.0000  4 Ho 3.10-3.18, 2 Sb 3.18
Sb 0.5000 0.4354 0.5000  4 Sb 2.93-3.18
Sb 0.0000 0.8694 0.5000  2 Sb 2.93, 2 Ho 3.13

---

Quick one: most stable of them? run iii

---

Run i
Material: Ho4Sb3
Method: DFT, PBE-GGA
State: relaxed

Output
The space group is Pm-3m. The calculation puts the calculated volume at 224 Å³ per cell. As for the calculated density: 7.59 Mg/m³. Its magnetic moment is 0.00 μB/f.u. The calculation puts the density of states at the Fermi level at 4.71 states/eV/cell.

Lattice parameters (Å, degrees): 6.0757 6.0757 6.0757 90.00 90.00 90.00
Last column: nearest neighbours and their distance in Å.
Positions (direct):
Ho 0.5000 0.5000 0.0000  4 Sb 3.04
Ho 0.5000 0.0000 0.5000  4 Sb 3.04
Ho 0.0000 0.0000 0.0000  6 Sb 3.04
Ho 0.0000 0.5000 0.5000  4 Sb 3.04
Sb 0.0000 0.0000 0.5000  6 Ho 3.04
Sb 0.0000 0.5000 0.0000  6 Ho 3.04
Sb 0.5000 0.0000 0.0000  6 Ho 3.04

---

Run ii
Material: Ho4Sb3
Method: DFT, PBE-GGA
State: relaxed

Output
The space group is I-43d. The calculation puts the calculated volume at 383 Å³ per cell. As for the calculated density: 8.88 Mg/m³. Its magnetic moment is 0.00 μB/f.u. The calculation puts the density of states at the Fermi level at 14.02 states/eV/cell.

Lattice parameters (Å, degrees): 7.9250 7.9250 7.9250 109.47 109.47 109.47
Last column: nearest neighbours and their distance in Å.
Positions (direct):
Ho 0.0000 0.0000 0.8545  6 Sb 3.07-3.27
Ho 0.5000 0.8545 0.0000  6 Sb 3.07-3.27
Ho 0.1455 0.6455 0.1455  6 Sb 3.07-3.27
Ho 0.3545 0.5000 0.5000  6 Sb 3.07-3.27
Ho 0.8545 0.5000 0.5000  6 Sb 3.07-3.27
Ho 0.0000 0.0000 0.3545  6 Sb 3.07-3.27
Ho 0.6455 0.1455 0.6455  6 Sb 3.07-3.27
Ho 0.5000 0.3545 0.0000  6 Sb 3.07-3.27
Sb 0.7500 0.6250 0.8750  8 Ho 3.07-3.27
Sb 0.8750 0.2500 0.1250  8 Ho 3.07-3.27
Sb 0.6250 0.7500 0.3750  8 Ho 3.07-3.27
Sb 0.2500 0.8750 0.6250  8 Ho 3.07-3.27
Sb 0.3750 0.1250 0.2500  8 Ho 3.07-3.27
Sb 0.1250 0.3750 0.7500  8 Ho 3.07-3.27

---

Quick one: most stable of them? run ii

---

Run i
Material: Ho2ScSb
Method: DFT, PBE-GGA
State: relaxed

Output
The space group is Fm-3m. The calculation puts the calculated volume at 104 Å³ per cell. As for the calculated density: 7.92 Mg/m³. Its magnetic moment is 0.00 μB/f.u. The calculation puts the density of states at the Fermi level at 4.74 states/eV/cell.

Lattice parameters (Å, degrees): 5.2809 5.2809 5.2812 60.00 60.00 60.00
Last column: nearest neighbours and their distance in Å.
Positions (direct):
Sb 0.0000 0.0000 0.0000  8 Ho 3.23
Ho 0.2499 0.2499 0.2502  4 Sb 3.23, 4 Sc 3.23
Ho 0.7501 0.7501 0.7498  4 Sb 3.23, 4 Sc 3.23
Sc 0.5000 0.5000 0.5000  8 Ho 3.23

---

Run ii
Material: Ho2ScSb
Method: DFT, PBE-GGA
State: relaxed

Output
The space group is P4/mmm. The calculation puts the calculated volume at 106 Å³ per cell. As for the calculated density: 7.75 Mg/m³. Its magnetic moment is 0.00 μB/f.u. The calculation puts the density of states at the Fermi level at 2.92 states/eV/cell.

Lattice parameters (Å, degrees): 4.0542 4.0542 6.4733 90.00 90.00 90.00
Last column: nearest neighbours and their distance in Å.
Positions (direct):
Ho 0.0000 0.0000 0.7571  2 Ho 3.15-3.33, 4 Sb 3.27, 4 Sc 3.31
Ho 0.0000 0.0000 0.2429  2 Ho 3.15-3.33, 4 Sb 3.27, 4 Sc 3.31
Sb 0.5000 0.5000 0.0000  2 Sc 3.24, 8 Ho 3.27
Sc 0.5000 0.5000 0.5000  2 Sb 3.24, 8 Ho 3.31

---

Quick one: most stable of them? run ii

---

Run i
Material: Ho2ScSb
Method: DFT, PBE-GGA
State: relaxed

Output
The space group is P4/mmm. The calculation puts the calculated volume at 102 Å³ per cell. As for the calculated density: 8.09 Mg/m³. Its magnetic moment is 0.00 μB/f.u. The calculation puts the density of states at the Fermi level at 5.04 states/eV/cell.

Lattice parameters (Å, degrees): 4.6929 4.6600 4.6600 90.00 90.00 90.00
Last column: nearest neighbours and their distance in Å.
Positions (direct):
Ho 0.0000 0.5000 0.0000  4 Ho 3.30, 4 Sb 3.31, 4 Sc 3.31
Ho 0.0000 0.0000 0.5000  4 Ho 3.30, 4 Sb 3.31, 4 Sc 3.31
Sc 0.5000 0.0000 0.0000  4 Sb 3.30, 8 Ho 3.31
Sb 0.5000 0.5000 0.5000  4 Sc 3.30, 8 Ho 3.31

---

Run ii
Material: Ho2ScSb
Method: DFT, PBE-GGA
State: relaxed

Output
The space group is P2_1/m. The calculation puts the calculated volume at 237 Å³ per cell. As for the calculated density: 6.97 Mg/m³. Its magnetic moment is 0.00 μB/f.u. The calculation puts the density of states at the Fermi level at 8.53 states/eV/cell.

Lattice parameters (Å, degrees): 4.0875 7.6450 7.8439 90.00 105.01 90.00
Last column: nearest neighbours and their distance in Å.
Positions (direct):
Ho 0.7282 0.6525 0.3190  3 Sb 3.11-3.15, 4 Sc 3.31-3.45
Ho 0.7281 0.1849 0.3189  3 Sb 3.11-3.15, 4 Sc 3.31-3.45
Ho 0.4817 0.6850 0.8227  3 Sb 3.11-3.15, 4 Sc 3.31-3.45
Ho 0.4818 0.1525 0.8228  3 Sb 3.11-3.15, 4 Sc 3.31-3.45
Sc 0.1215 0.9187 0.1039  1 Sb 2.91
Sc 0.0885 0.4188 0.0378  1 Sb 2.91
Sb 0.8981 0.4187 0.6544  1 Sc 2.91, 6 Ho 3.11-3.15
Sb 0.3119 0.9188 0.4874  1 Sc 2.91, 6 Ho 3.11-3.15

---

Run iii
Material: Ho2ScSb
Method: DFT, PBE-GGA
State: relaxed

Output
The space group is R3m. The calculation puts the calculated volume at 123 Å³ per cell. As for the calculated density: 6.73 Mg/m³. Its magnetic moment is 0.63 μB/f.u. The calculation puts the density of states at the Fermi level at 5.72 states/eV/cell.

Lattice parameters (Å, degrees): 3.9569 3.9569 9.3203 77.74 77.74 60.00
Last column: nearest neighbours and their distance in Å.
Positions (direct):
Ho 0.0714 0.0714 0.7859  3 Sb 3.00
Ho 0.2620 0.2620 0.2141  3 Sb 2.99
Sb 0.6662 0.6662 0.0014  6 Ho 2.99-3.00
Sc 0.5005 0.5005 0.4986  6 Ho 3.44-3.46

---

Quick one: most stable of them? run i

---

Run i
Material: HoSbSe3
Method: DFT, PBE-GGA
State: relaxed

Output
The space group is P-6c2. The calculation puts the calculated volume at 296 Å³ per cell. As for the calculated density: 5.87 Mg/m³. Its magnetic moment is 0.00 μB/f.u.

Lattice parameters (Å, degrees): 7.0841 6.9476 6.9476 120.00 90.00 90.00
Last column: nearest neighbours and their distance in Å.
Positions (direct):
Se 0.7500 0.3294 0.3254  2 Ho 2.88, 2 Sb 2.92
Se 0.2500 0.9961 0.3254  2 Ho 2.88, 2 Sb 2.92
Se 0.7500 0.9961 0.6706  2 Ho 2.88, 2 Sb 2.92
Se 0.2500 0.6746 0.6706  2 Ho 2.88, 2 Sb 2.92
Se 0.2500 0.3294 0.0039  2 Ho 2.88, 2 Sb 2.92
Se 0.7500 0.6746 0.0039  2 Ho 2.88, 2 Sb 2.92
Ho 0.5000 0.0000 0.0000  6 Se 2.88
Ho 0.0000 0.0000 0.0000  6 Se 2.88
Sb 0.0000 0.6667 0.3333  6 Se 2.92
Sb 0.5000 0.6667 0.3333  6 Se 2.92

---

Run ii
Material: HoSbSe3
Method: DFT, PBE-GGA
State: relaxed

Output
The space group is P2_1/m. The calculation puts the calculated volume at 305 Å³ per cell. As for the calculated density: 5.69 Mg/m³. Its magnetic moment is 0.00 μB/f.u.

Lattice parameters (Å, degrees): 4.0706 7.2359 10.3710 89.88 90.00 90.00
Last column: nearest neighbours and their distance in Å.
Positions (direct):
Ho 0.2500 0.9258 0.1710  6 Se 2.84-2.93
Ho 0.7500 0.0742 0.8290  6 Se 2.84-2.93
Se 0.7500 0.7684 0.0057  3 Ho 2.87-2.90, 3 Sb 3.18-3.21
Se 0.2500 0.2316 0.9943  3 Ho 2.87-2.90, 3 Sb 3.18-3.21
Se 0.2500 0.9062 0.6782  1 Sb 2.67, 2 Ho 2.84
Se 0.7500 0.4150 0.6755  2 Sb 2.75, 1 Ho 2.93
Se 0.7500 0.0938 0.3218  1 Sb 2.67, 2 Ho 2.84
Se 0.2500 0.5850 0.3245  2 Sb 2.75, 1 Ho 2.93
Sb 0.2500 0.5861 0.8078  3 Se 2.67-2.75
Sb 0.7500 0.4139 0.1922  3 Se 2.67-2.75

---

Quick one: most stable of them? run ii